The following is a GGA-PBE calculation of a relaxed Ho3Hg4Pb crystal, from the Alexandria database.

Lattice parameters (Å, degrees): 16.914 3.547 7.995 90.00 115.09 90.00
Element x y z (fractional)
Ho 0.000 0.000 0.000
Ho 0.185 0.000 0.664
Ho 0.315 0.500 0.336
Ho 0.500 0.500 0.000
Ho 0.685 0.500 0.664
Ho 0.815 0.000 0.336
Hg 0.134 0.500 0.317
Hg 0.150 0.500 0.949
Hg 0.350 0.000 0.051
Hg 0.366 0.000 0.683
Hg 0.634 0.000 0.317
Hg 0.650 0.000 0.949
Hg 0.850 0.500 0.051
Hg 0.866 0.500 0.683
Pb 0.000 0.500 0.500
Pb 0.500 0.000 0.500

## Properties
ΔE to the lowest computed polymorph = 114.3 meV per atom
N(E_F) = 11.12 states/eV/cell
magnetization = 0.00 μB per cell
crystal system = monoclinic
E_form = -278 meV per atom
symmetry = C2/m (12)